# 1
VASP calculation (PBE) on a relaxed structure of CdNiBRu2.

a b c (Å): 4.4649 4.4649 4.6921
angles (deg): 90.00 90.00 90.00
Closest atoms and distances in Å follow each position.
Element x y z (fractional)
Cd: 0.0000 0.0000 0.0000  2 Ni 2.35
Ni: 0.0000 0.0000 0.5000  4 Ru 2.23, 2 Cd 2.35
B: 0.5000 0.5000 0.0000  4 Cd 3.16, 8 Ru 3.24
Ru: 0.0000 0.5000 0.5000  2 Ni 2.23
Ru: 0.5000 0.0000 0.5000  2 Ni 2.23

calculated volume = 93.5 Å³/cell
ΔE_f = 1952 meV per atom
D(E_F) = 6.4 states/eV/f.u.
magnetization = 3.1 μB per formula unit

***

# 2
VASP calculation (PBE) on a relaxed structure of La5Fe2I2.

a b c (Å): 9.2778 9.2778 8.7067
angles (deg): 90.00 90.00 46.38
Closest atoms and distances in Å follow each position.
Element x y z (fractional)
La: 0.0000 0.0000 0.0000  2 Fe 2.72
La: 0.0251 0.7676 0.6669  3 Fe 2.76-3.04
La: 0.2324 0.9749 0.6669  3 Fe 2.76-3.04
La: 0.2676 0.5251 0.1669  3 Fe 2.76-3.04
La: 0.4749 0.7324 0.1669  3 Fe 2.76-3.04
La: 0.5000 0.5000 0.5000  2 Fe 2.72
La: 0.5251 0.2676 0.8331  3 Fe 2.76-3.04
La: 0.7324 0.4749 0.8331  3 Fe 2.76-3.04
La: 0.7676 0.0251 0.3331  3 Fe 2.76-3.04
La: 0.9749 0.2324 0.3331  3 Fe 2.76-3.04
Fe: 0.1552 0.8448 0.3831  5 La 2.72-3.03
Fe: 0.3448 0.6552 0.8831  5 La 2.72-3.03
Fe: 0.6552 0.3448 0.1169  5 La 2.72-3.03
Fe: 0.8448 0.1552 0.6169  5 La 2.72-3.03
I: 0.2056 0.2056 0.0000  7 La 3.51-3.69
I: 0.2944 0.2944 0.5000  7 La 3.51-3.69
I: 0.7056 0.7056 0.5000  7 La 3.51-3.69
I: 0.7944 0.7944 0.0000  7 La 3.51-3.69

calculated volume = 542.5 Å³/cell
raw formation energy = -386 meV per atom
D(E_F) = 8.7 states/eV/f.u.
magnetization = 0.0 μB per formula unit

***

# 3
VASP calculation (PBE) on a relaxed structure of Nb3PPb.

a b c (Å): 5.1353 5.1353 5.1353
angles (deg): 90.00 90.00 90.00
Closest atoms and distances in Å follow each position.
Element x y z (fractional)
Nb: 0.0000 0.0000 0.5000  2 Pb 2.57
Nb: 0.0000 0.5000 0.0000  2 Pb 2.57
Nb: 0.5000 0.0000 0.0000  2 Pb 2.57
P: 0.5000 0.5000 0.5000  12 Nb 3.63
Pb: 0.0000 0.0000 0.0000  6 Nb 2.57

calculated volume = 135.4 Å³/cell
ΔE_f = 2256 meV per atom
D(E_F) = 9.8 states/eV/f.u.
magnetization = 1.1 μB per formula unit

***

# 4
VASP calculation (PBE) on a relaxed structure of Pr5Sm4Y.

a b c (Å): 8.1470 8.1470 8.1470
angles (deg): 98.53 98.53 134.69
Closest atoms and distances in Å follow each position.
Element x y z (fractional)
Pr: 0.0000 0.0000 0.0000  1 Y 2.91
Pr: 0.0819 0.0819 0.6208  1 Y 3.30, 2 Sm 3.31, 3 Pr 3.32-3.63
Pr: 0.0819 0.4611 0.0000  1 Y 3.30, 2 Sm 3.31, 3 Pr 3.32-3.63
Pr: 0.4611 0.0819 0.0000  1 Y 3.30, 2 Sm 3.31, 3 Pr 3.32-3.63
Pr: 0.4611 0.4611 0.3792  1 Y 3.30, 2 Sm 3.31, 3 Pr 3.32-3.63
Sm: 0.0690 0.7432 0.3257  2 Pr 3.31, 1 Y 3.70, 1 Sm 3.71
Sm: 0.4175 0.7432 0.6743  2 Pr 3.31, 1 Y 3.70, 1 Sm 3.71
Sm: 0.7432 0.0690 0.3257  2 Pr 3.31, 1 Y 3.70, 1 Sm 3.71
Sm: 0.7432 0.4175 0.6743  2 Pr 3.31, 1 Y 3.70, 1 Sm 3.71
Y: 0.5365 0.5365 0.0000  1 Pr 2.91

calculated volume = 354.8 Å³/cell
ΔE_f = 240 meV per atom
D(E_F) = 14.8 states/eV/f.u.
magnetization = 0.0 μB per formula unit

***

The highest calculated volume belongs to which entry?
La5Fe2I2